DFT (PBE) results for a relaxed MnZn2Co crystal.

```
MnZn2Co
1.0
-3.670 -5.064 -6.175
-4.503 -6.339 -4.096
-5.823 -4.309 -4.976
Co Mn Zn
1 1 2
Direct
0.495 0.495 0.495
0.756 0.756 0.756
0.006 0.006 0.006
0.244 0.244 0.244
```

Crystal system = trigonal
Formation enthalpy at 0 K = 0.088 eV/atom
Polymorph energy (0 for the lowest one) = 12.6 kJ per mole of atoms

DFT (PBE) results for a relaxed TiTlSe2 crystal.

```
TiTlSe2
1.0
2.736 -2.223 3.503
-2.216 -2.108 3.918
-0.079 -4.950 0.446
Tl Se Ti
1 2 1
Direct
0.500 0.500 0.500
0.250 0.250 0.250
0.750 0.750 0.750
0.000 0.000 0.000
```

Crystal system = cubic
VASP energy = -4.536 eV per atom

DFT (PBE) results for a relaxed ZnAg2Sn2 crystal.

```
ZnAg2Sn2
1.0
-1.255 -5.765 -3.921
-3.306 -3.016 5.492
-3.817 1.742 -1.340
Zn Sn Ag
2 4 4
Direct
0.000 0.000 0.000
0.500 0.500 0.000
0.165 0.665 0.500
0.665 0.835 0.500
0.835 0.335 0.500
0.335 0.165 0.500
0.357 0.857 0.000
0.857 0.643 0.000
0.643 0.143 0.000
0.143 0.357 0.000
```

Crystal system = tetragonal
Formation enthalpy at 0 K = 0.115 eV/atom
Polymorph energy (0 for the lowest one) = 0.0 kJ per mole of atoms

DFT (PBE) results for a relaxed PrPa2CoN5 crystal.

```
PrPa2CoN5
1.0
-0.174 -2.686 -2.083
6.729 -0.849 3.312
-4.157 -5.239 7.104
Pr Pa Co N
2 4 2 10
Direct
0.793 0.586 0.486
0.207 0.414 0.986
0.877 0.753 0.794
0.087 0.175 0.675
0.123 0.247 0.294
0.913 0.825 0.175
0.524 0.048 0.957
0.476 0.952 0.457
0.382 0.763 0.011
0.640 0.279 0.844
0.482 0.964 0.775
0.291 0.581 0.710
0.950 0.899 0.572
0.618 0.237 0.511
0.360 0.721 0.344
0.518 0.036 0.275
0.709 0.419 0.210
0.050 0.101 0.072
```

Crystal system = orthorhombic
VASP energy = -9.048 eV per atom

DFT (PBE) results for a relaxed BaCa2Se2 crystal.

```
BaCa2Se2
1.0
8.455 0.000 0.000
0.000 8.455 0.000
0.000 0.000 4.144
Ca Ba Se
4 2 4
Direct
0.153 0.653 0.500
0.653 0.847 0.500
0.847 0.347 0.500
0.347 0.153 0.500
0.000 0.000 0.000
0.500 0.500 0.000
0.352 0.852 0.000
0.852 0.648 0.000
0.648 0.148 0.000
0.148 0.352 0.000
```

Crystal system = tetragonal
Polymorph energy (0 for the lowest one) = 5.4 kJ per mole of atoms

DFT (PBE) results for a relaxed KCo2AgBr8 crystal.

```
KCo2AgBr8
1.0
6.756 0.000 0.000
3.378 5.851 0.000
3.378 1.950 9.741
K Co Ag Br
1 2 1 8
Direct
0.500 0.500 0.500
0.251 0.251 0.247
0.749 0.749 0.753
0.000 0.000 0.000
0.171 0.171 0.486
0.600 0.285 0.173
0.829 0.829 0.514
0.942 0.600 0.173
0.058 0.400 0.827
0.285 0.942 0.173
0.715 0.058 0.827
0.400 0.715 0.827
```

Crystal system = trigonal
VASP energy = -3.142 eV per atom

DFT (PBE) results for a relaxed K3NbRh crystal.

```
K3NbRh
1.0
5.932 0.000 0.000
0.000 5.932 0.000
0.000 0.000 5.932
Nb Rh K
1 1 3
Direct
0.500 0.500 0.500
0.000 0.000 0.000
0.000 0.500 0.000
0.000 0.000 0.500
0.500 0.000 0.000
```

Crystal system = cubic
Formation enthalpy at 0 K = 1.498 eV/atom

DFT (PBE) results for a relaxed ScSb2Pd9 crystal.

```
ScSb2Pd9
1.0
4.041 0.000 0.000
0.000 4.041 0.000
0.000 0.000 12.094
Sc Sb Pd
1 2 9
Direct
0.000 0.000 0.000
0.000 0.000 0.329
0.000 0.000 0.671
0.500 0.500 0.000
0.500 0.500 0.335
0.500 0.500 0.665
0.500 0.000 0.165
0.500 0.000 0.500
0.500 0.000 0.835
0.000 0.500 0.165
0.000 0.500 0.500
0.000 0.500 0.835
```

Crystal system = tetragonal
VASP energy = -5.651 eV per atom

DFT (PBE) results for a relaxed KSb3N crystal.

```
KSb3N
1.0
-4.159 -2.552 0.841
1.836 -1.567 4.323
-1.962 3.943 2.263
Sb K N
3 1 1
Direct
0.000 0.500 0.000
0.000 0.000 0.500
0.500 0.000 0.000
0.500 0.500 0.500
0.000 0.000 0.000
```

Crystal system = cubic
Polymorph energy (0 for the lowest one) = 0.0 kJ per mole of atoms

DFT (PBE) results for a relaxed LaZn2CdNi crystal.

```
LaZn2CdNi
1.0
4.681 0.000 0.000
0.000 4.681 0.000
0.000 0.000 4.901
Ni Zn Cd La
1 2 1 1
Direct
0.000 0.000 0.000
0.000 0.500 0.000
0.500 0.000 0.000
0.000 0.000 0.500
0.500 0.500 0.500
```

Crystal system = tetragonal
Formation enthalpy at 0 K = -0.185 eV/atom
Polymorph energy (0 for the lowest one) = 0.0 kJ per mole of atoms

DFT (PBE) results for a relaxed MnGaP2Rh crystal.

```
MnGaP2Rh
1.0
-4.272 0.475 -1.544
0.960 -2.701 -3.487
-1.291 -3.629 2.455
P Mn Rh Ga
2 1 1 1
Direct
0.000 0.000 0.500
0.500 0.000 0.000
0.500 0.500 0.500
0.000 0.500 0.000
0.000 0.000 0.000
```

Crystal system = tetragonal
Formation enthalpy at 0 K = 1.417 eV/atom

DFT (PBE) results for a relaxed Ce2Co2Ge3 crystal.

```
Ce2Co2Ge3
1.0
4.082 0.000 -0.973
0.000 6.757 0.000
0.040 0.000 9.217
Ce Co Ge
4 4 6
Direct
0.165 0.250 0.330
0.835 0.750 0.670
0.948 0.250 0.897
0.052 0.750 0.103
0.698 0.948 0.396
0.302 0.052 0.604
0.302 0.448 0.604
0.698 0.552 0.396
0.218 0.750 0.436
0.782 0.250 0.564
0.568 0.440 0.135
0.432 0.560 0.865
0.432 0.940 0.865
0.568 0.060 0.135
```

Crystal system = orthorhombic
Formation enthalpy at 0 K = -0.595 eV/atom
Polymorph energy (0 for the lowest one) = 0.0 kJ per mole of atoms

DFT (PBE) results for a relaxed Dy8Te3Se3N crystal.

```
Dy8Te3Se3N
1.0
-4.283 1.079 -6.884
-3.876 -1.630 7.015
3.571 7.573 -1.035
Dy Te Se N
8 3 3 1
Direct
0.262 0.524 0.286
0.738 0.476 0.714
0.792 0.584 0.306
0.208 0.416 0.694
0.792 0.014 0.306
0.208 0.986 0.694
0.222 0.014 0.306
0.778 0.986 0.694
0.000 0.000 0.000
0.000 0.500 0.000
0.500 0.500 0.000
0.500 0.000 0.500
0.500 0.500 0.500
0.000 0.500 0.500
0.000 0.000 0.500
```

Crystal system = trigonal
VASP energy = -5.707 eV per atom

DFT (PBE) results for a relaxed ZrIn2Au crystal.

```
ZrIn2Au
1.0
-0.704 -3.362 4.891
2.381 -2.461 4.899
-0.763 2.574 4.657
Au In Zr
1 2 1
Direct
0.750 0.750 0.750
0.014 0.014 0.985
0.486 0.486 0.515
0.250 0.250 0.250
```

Crystal system = monoclinic
Formation enthalpy at 0 K = -0.155 eV/atom
Polymorph energy (0 for the lowest one) = 19.9 kJ per mole of atoms

DFT (PBE) results for a relaxed BaPRu crystal.

```
BaPRu
1.0
-1.631 1.631 5.942
1.631 -1.631 5.942
1.631 1.631 -5.942
Ba P Ru
1 1 1
Direct
0.999 0.999 0.000
0.287 0.287 0.000
0.714 0.714 0.000
```

Crystal system = tetragonal
Formation enthalpy at 0 K = -0.227 eV/atom

DFT (PBE) results for a relaxed TaFeRe2 crystal.

```
TaFeRe2
1.0
2.712 0.000 0.000
0.000 2.712 0.000
0.000 0.000 7.999
Fe Re Ta
1 2 1
Direct
0.500 0.500 0.750
0.000 0.000 0.966
0.000 0.000 0.534
0.500 0.500 0.250
```

Crystal system = tetragonal
Formation enthalpy at 0 K = 0.037 eV/atom

DFT (PBE) results for a relaxed K2BaCa crystal.

```
K2BaCa
1.0
8.284 0.007 0.018
3.740 7.391 -0.018
-5.094 -5.190 3.965
Ba Ca K
1 1 2
Direct
0.495 0.495 0.000
0.245 0.745 0.500
0.001 0.001 0.000
0.759 0.259 0.500
```

Crystal system = orthorhombic
Formation enthalpy at 0 K = 0.169 eV/atom
Polymorph energy (0 for the lowest one) = 8.0 kJ per mole of atoms

DFT (PBE) results for a relaxed Na2TlI crystal.

```
Na2TlI
1.0
4.131 0.000 0.000
0.000 4.131 0.000
0.000 0.000 7.277
I Na Tl
1 2 1
Direct
0.500 0.500 0.000
0.000 0.000 0.742
0.000 0.000 0.258
0.500 0.500 0.500
```

Crystal system = tetragonal
Polymorph energy (0 for the lowest one) = 0.0 kJ per mole of atoms

DFT (PBE) results for a relaxed TlInCoGe2 crystal.

```
TlInCoGe2
1.0
4.595 0.000 0.000
0.000 4.595 0.000
0.000 0.000 5.166
Tl Co Ge In
1 1 2 1
Direct
0.500 0.500 0.500
0.000 0.000 0.000
0.000 0.500 0.000
0.500 0.000 0.000
0.000 0.000 0.500
```

Crystal system = tetragonal
Formation enthalpy at 0 K = 0.107 eV/atom

DFT (PBE) results for a relaxed K2BaTcB crystal.

```
K2BaTcB
1.0
-3.991 3.671 -4.569
-4.117 -0.893 2.879
1.272 5.938 3.660
K B Ba Tc
2 1 1 1
Direct
0.000 0.000 0.500
0.500 0.000 0.000
0.500 0.500 0.500
0.000 0.000 0.000
0.000 0.500 0.000
```

Crystal system = tetragonal
Formation enthalpy at 0 K = 2.145 eV/atom

DFT (PBE) results for a relaxed Na2CdTe2 crystal.

```
Na2CdTe2
1.0
-5.183 -7.009 3.765
-2.137 -3.101 -8.716
2.610 -1.909 0.039
Na Te Cd
4 4 2
Direct
0.371 0.871 0.000
0.871 0.629 0.000
0.629 0.129 0.000
0.129 0.371 0.000
0.168 0.668 0.500
0.668 0.832 0.500
0.832 0.332 0.500
0.332 0.168 0.500
0.000 0.000 0.000
0.500 0.500 0.000
```

Crystal system = tetragonal
Polymorph energy (0 for the lowest one) = 28.7 kJ per mole of atoms

DFT (PBE) results for a relaxed CsLiCdTe2 crystal.

```
CsLiCdTe2
1.0
-5.593 -3.664 -1.926
3.162 -1.919 -5.535
1.328 -5.539 6.682
Cs Li Cd Te
2 2 2 4
Direct
0.226 0.750 0.500
0.774 0.250 0.500
0.500 0.750 0.000
0.500 0.250 0.000
0.000 0.000 0.000
0.000 0.500 0.000
0.718 0.889 0.778
0.718 0.611 0.222
0.282 0.389 0.778
0.282 0.111 0.222
```

Crystal system = orthorhombic
VASP energy = -2.776 eV per atom

DFT (PBE) results for a relaxed PmCdCo crystal.

```
PmCdCo
1.0
-2.554 1.587 -2.452
-1.870 -3.529 -0.335
-4.064 3.794 6.687
Pm Cd Co
2 2 2
Direct
0.250 0.905 0.811
0.750 0.095 0.189
0.750 0.296 0.592
0.250 0.704 0.408
0.250 0.535 0.070
0.750 0.465 0.930
```

Crystal system = orthorhombic
Formation enthalpy at 0 K = -0.219 eV/atom
Polymorph energy (0 for the lowest one) = 0.0 kJ per mole of atoms

DFT (PBE) results for a relaxed CrCu4Sb crystal.

```
CrCu4Sb
1.0
0.000 3.523 3.523
3.523 0.000 3.523
3.523 3.523 0.000
Cr Cu Sb
1 4 1
Direct
0.000 0.000 0.000
0.877 0.374 0.374
0.374 0.374 0.877
0.374 0.877 0.374
0.374 0.374 0.374
0.750 0.750 0.750
```

Crystal system = cubic
VASP energy = -4.884 eV per atom

DFT (PBE) results for a relaxed LiBi2Pd crystal.

```
LiBi2Pd
1.0
0.964 -4.890 -0.518
2.276 -2.510 3.692
-2.561 -3.359 2.696
Bi Pd Li
2 1 1
Direct
0.250 0.250 0.250
0.750 0.750 0.750
0.500 0.500 0.500
0.000 0.000 0.000
```

Crystal system = cubic
Formation enthalpy at 0 K = -0.317 eV/atom
Polymorph energy (0 for the lowest one) = 3.5 kJ per mole of atoms

Sequential magnetization output: 1.7, 1.1, 0.0, 0.6, 0.0, 8.1, 5.5, 0.0, 0.0, 0.0, 0.3, 0.4, 0.0, 0.0, 0.0, 0.7, 0.0, 0.0, 0.0, 2.8, 0.0, 0.0, 0.5, 4.4, 0.0 μB per formula unit